# In2MoRu

In2MoRu after structural relaxation (PBEsol, Alexandria via LeMat-Bulk).

Results
For the distance to the lowest polymorph of the same formula, the calculation gives 268 meV/atom. The calculation puts the theoretical density at 10.3 g cm⁻³. As for the formation energy from the elements: 0.37 eV/atom. The calculation puts the energy at -6.606 eV/atom.

Lattice parameters (Å, degrees): 2.986 2.986 9.076 80.53 80.53 60.00
Element x y z (fractional)
In 0.253 0.253 0.240
In 0.747 0.747 0.760
Mo 0.500 0.500 0.500
Ru 0.000 0.000 0.000